A plane-wave DFT calculation with PBE was carried out for a relaxed structure of Cs2AsCl5F.

```
9
Lattice="7.4222 -0.1510 -0.2192 -3.6571 6.4604 0.2192 -3.6571 -2.0957 6.1150" Properties=species:S:1:pos:R:3 pbc="T T T"
Cl -3.5972 4.4412 1.5340
Cs 0.0938 4.2221 1.5490
Cs 0.0938 -0.0560 4.4969
Cl 1.8055 0.9060 1.3148
Cl -3.5972 -0.1481 4.6964
F -5.9937 3.5767 5.1905
As -7.2753 4.3414 6.3004
Cl -1.5777 3.2361 4.6964
Cl -1.6794 1.0022 1.4544
```

Computed properties:
Total magnetic moment (μB/cell): 0.0
Total energy (eV per atom): -3.40
Fermi-level density of states (states/eV/cell): 4.879

---

A plane-wave DFT calculation with PBE was carried out for a relaxed structure of CsAsClF3.

```
12
Lattice="-4.7119 4.9507 1.5308 -8.3737 1.2921 2.0770 -2.3071 -0.0404 9.0442" Properties=species:S:1:pos:R:3 pbc="T T T"
F -10.4532 3.7553 4.6218
F -12.5464 5.9570 5.3021
Cl -7.4104 4.2457 3.5085
Cs -10.5318 4.5027 9.0846
As -9.1814 2.3945 4.0368
F -6.6139 3.9548 6.9007
As -6.2113 3.8078 8.6151
F -4.9395 2.4470 8.0302
Cs -4.8609 1.6997 3.5673
Cl -7.9823 1.9567 9.1435
F -2.8462 0.2454 7.3499
F -8.7788 2.2475 5.7513
```

Computed properties:
Total magnetic moment (μB/cell): 0.0
Total energy (eV per atom): -4.20
Fermi-level density of states (states/eV/cell): 0.000

---

A plane-wave DFT calculation with PBE was carried out for a relaxed structure of Cs3AsCl2F6.

```
12
Lattice="5.1314 0.0000 0.4482 0.0000 8.2764 0.0000 -0.3016 -4.1382 8.3042" Properties=species:S:1:pos:R:3 pbc="T T T"
Cs 0.0000 4.1382 0.0000
Cl -0.0494 4.1382 3.2612
F 3.5991 1.2711 0.9247
Cs 2.4149 2.0691 4.3762
F 3.5991 7.0053 0.9247
Cl 4.8792 0.0000 5.4912
F 3.2299 4.1382 7.0378
F 1.2307 2.8671 7.8277
Cs 2.4149 -2.0691 4.3762
F 1.2307 -2.8671 7.8277
As 2.5657 0.0000 0.2241
F 1.5999 0.0000 1.7146
```

Computed properties:
Total magnetic moment (μB/cell): 0.1
Total energy (eV per atom): -4.09
Fermi-level density of states (states/eV/cell): 0.000

---

A plane-wave DFT calculation with PBE was carried out for a relaxed structure of Cs2GaAsCl6.

```
10
Lattice="7.6249 0.0000 0.0000 0.0000 7.6249 0.0000 3.8125 3.8125 5.3890" Properties=species:S:1:pos:R:3 pbc="T T T"
Cl 7.6249 7.6249 2.5335
Cl 1.7912 1.7912 0.0000
Cl 5.8337 1.7912 0.0000
Cl 1.7912 5.8337 0.0000
Cl 3.8125 3.8125 2.8555
Cs 7.6249 3.8125 2.6945
Cs 3.8125 7.6249 2.6945
As 0.0000 0.0000 0.0000
Cl 5.8337 5.8337 0.0000
Ga 3.8125 3.8125 0.0000
```

Computed properties:
Total magnetic moment (μB/cell): 0.0
Total energy (eV per atom): -3.32
Fermi-level density of states (states/eV/cell): 0.000